PBE La3HfPb, optimized geometry; electronic total energy = -4.930 eV per atom; formation enthalpy at 0 K = 366 kJ/mol of formula units; V = 44.155 Å³/atom; ΔE to the lowest computed polymorph = 0.403 eV per atom
1.0
6.0439 0.0000 0.0000
0.0000 6.0439 0.0000
0.0000 0.0000 6.0439
La Pb Hf
3 1 1
direct
0.0000 0.0000 0.5000
0.0000 0.5000 0.0000
0.5000 0.0000 0.0000
0.0000 0.0000 0.0000
0.5000 0.5000 0.5000

PBE LaHf3Pb, optimized geometry; electronic total energy = -6.655 eV per atom; formation enthalpy at 0 K = 504 kJ/mol of formula units; V = 31.952 Å³/atom; ΔE to the lowest computed polymorph = 0.000 eV per atom
1.0
5.4261 0.0000 0.0000
0.0000 5.4261 0.0000
0.0000 0.0000 5.4261
Hf La Pb
3 1 1
direct
0.0000 0.5000 0.0000
0.0000 0.0000 0.5000
0.5000 0.0000 0.0000
0.5000 0.5000 0.5000
0.0000 0.0000 0.0000

PBE LaHf2Pb, optimized geometry; electronic total energy = -6.810 eV per atom; formation enthalpy at 0 K = 126 kJ/mol of formula units; V = 27.697 Å³/atom
1.0
4.5227 0.0000 0.0000
0.0000 4.5227 0.0000
2.2614 2.2614 10.8326
Hf Pb La
4 2 2
direct
0.6321 0.1250 0.2500
0.3750 0.3679 0.7500
0.8750 0.8821 0.7500
0.1179 0.6250 0.2500
0.0000 0.0000 0.0000
0.7500 0.2500 0.5000
0.5000 0.5000 0.0000
0.2500 0.7500 0.5000

PBE LaHfPb2, optimized geometry; electronic total energy = -5.767 eV per atom; formation enthalpy at 0 K = -74 kJ/mol of formula units; V = 29.482 Å³/atom; ΔE to the lowest computed polymorph = 0.000 eV per atom
1.0
4.9022 0.0000 0.0000
2.4511 4.2455 0.0000
2.4511 1.4152 5.6663
Pb Hf La
2 1 1
direct
0.2342 0.2342 0.2973
0.7658 0.7658 0.7027
0.5000 0.5000 0.5000
0.0000 0.0000 0.0000

PBE La2HfPb2, optimized geometry; electronic total energy = -5.761 eV per atom; formation enthalpy at 0 K = -152 kJ/mol of formula units; V = 30.842 Å³/atom
1.0
-6.3716 -1.3791 -4.7836
2.9886 -7.2733 -1.8840
-2.3228 -1.8975 3.6409
Hf Pb La
2 4 4
direct
0.0000 0.0000 0.0000
0.5000 0.5000 0.0000
0.6448 0.1448 0.0000
0.1448 0.3552 0.0000
0.3552 0.8552 0.0000
0.8552 0.6448 0.0000
0.8347 0.3347 0.5000
0.1653 0.6653 0.5000
0.3347 0.1653 0.5000
0.6653 0.8347 0.5000

PBE LaHfPb2, optimized geometry; electronic total energy = -5.332 eV per atom; formation enthalpy at 0 K = 93 kJ/mol of formula units; V = 31.333 Å³/atom; ΔE to the lowest computed polymorph = 0.434 eV per atom
1.0
4.7737 0.0000 0.0000
0.0000 4.7737 0.0000
2.3869 2.3869 10.9995
Hf La Pb
2 2 4
direct
0.0000 0.0000 0.0000
0.7500 0.2500 0.5000
0.2500 0.7500 0.5000
0.5000 0.5000 0.0000
0.6653 0.1250 0.2500
0.3750 0.3347 0.7500
0.8750 0.9153 0.7500
0.0847 0.6250 0.2500

PBE LaHf3Pb, optimized geometry; electronic total energy = -6.266 eV per atom; formation enthalpy at 0 K = 691 kJ/mol of formula units; V = 28.160 Å³/atom; ΔE to the lowest computed polymorph = 0.388 eV per atom
1.0
-1.2726 -2.7339 -4.2392
-3.5199 -2.6504 2.7659
-3.6133 3.5448 -1.2014
Pb Hf La
1 3 1
direct
0.5000 0.5000 0.5000
0.0000 0.5000 0.0000
0.5000 0.0000 0.0000
0.0000 0.0000 0.5000
0.0000 0.0000 0.0000

PBE LaHfPb3, optimized geometry; electronic total energy = -5.120 eV per atom; formation enthalpy at 0 K = 39 kJ/mol of formula units; V = 34.574 Å³/atom; ΔE to the lowest computed polymorph = 0.000 eV per atom
1.0
-0.0173 5.4465 -1.1693
0.2281 -1.1676 -5.4421
-5.5659 -0.0648 -0.2194
Pb La Hf
3 1 1
direct
0.5000 0.0000 0.0000
0.0000 0.5000 0.0000
0.0000 0.0000 0.5000
0.5000 0.5000 0.5000
0.0000 0.0000 0.0000

PBE LaHfPb, optimized geometry; electronic total energy = -6.488 eV per atom; formation enthalpy at 0 K = -84 kJ/mol of formula units; V = 29.444 Å³/atom
1.0
-3.6509 2.6107 0.3305
-0.6650 -1.4621 4.2040
4.9347 6.5151 3.0465
Pb Hf La
2 2 2
direct
0.0000 0.5000 0.2507
0.5000 0.0000 0.7493
0.5000 0.5000 0.5000
0.0000 0.0000 0.5000
0.0000 0.5000 0.8417
0.5000 0.0000 0.1583

PBE La3HfPb, optimized geometry; electronic total energy = -5.333 eV per atom; formation enthalpy at 0 K = 172 kJ/mol of formula units; V = 36.765 Å³/atom; ΔE to the lowest computed polymorph = 0.000 eV per atom
1.0
-5.3706 0.9967 1.5791
0.5095 -3.8438 4.1588
1.7965 4.0696 3.5413
Hf La Pb
1 3 1
direct
0.0000 0.0000 0.0000
0.5000 0.0000 0.0000
0.0000 0.0000 0.5000
0.0000 0.5000 0.0000
0.5000 0.5000 0.5000

PBE LaHfPb2, optimized geometry; electronic total energy = -5.644 eV per atom; formation enthalpy at 0 K = -27 kJ/mol of formula units; V = 27.890 Å³/atom; ΔE to the lowest computed polymorph = 0.122 eV per atom
1.0
0.0000 3.8208 3.8208
3.8208 0.0000 3.8208
3.8208 3.8208 0.0000
Pb La Hf
2 1 1
direct
0.7500 0.7500 0.7500
0.2500 0.2500 0.2500
0.0000 0.0000 0.0000
0.5000 0.5000 0.5000

PBE LaHfPb3, optimized geometry; electronic total energy = -4.039 eV per atom; formation enthalpy at 0 K = 561 kJ/mol of formula units; V = 41.406 Å³/atom; ΔE to the lowest computed polymorph = 1.081 eV per atom
1.0
-5.8983 0.1065 -0.4419
0.0626 -5.5060 -2.1625
-0.4502 -2.1608 5.4886
Pb La Hf
3 1 1
direct
0.0000 0.5000 0.0000
0.0000 0.0000 0.5000
0.5000 0.0000 0.0000
0.0000 0.0000 0.0000
0.5000 0.5000 0.5000

- Which value of formation enthalpy at 0 K does entry 6 give?
  93 kJ/mol of formula units

- Which of these has the highest V?
  number 1

- Which value of electronic total energy does entry 12 give?
  -4.039 eV per atom